This record from the Alexandria database describes a relaxed structure of ZrBeAg. The functional is PBE.

The space group is Imm2 (No. 44) and the conventional cell measures 2.913, 3.023 and 11.050 Å, with angles of 90.00, 90.00 and 90.00 degrees. The asymmetric unit holds Zr at (0.000, 0.000, 0.000), Be at (0.000, 0.000, 0.338) and Ag at (0.000, 0.000, 0.712).

The crystal system is orthorhombic. The value obtained for the distance to the lowest polymorph of the same formula is 193 meV/atom. As for the formation energy: 2.4 kJ/mol of atoms. Its uncorrected energy is -0.369 Ry per atom.



This record from the Alexandria database describes a relaxed structure of Ac3La7Y2. The functional is PBE.

The space group is R-3m (No. 166, hexagonal axes) and the conventional cell measures 7.2026, 7.2026 and 30.9665 Å, with angles of 90.00, 90.00 and 120.00 degrees. The asymmetric unit holds Ac at (0.0000, 0.0000, 0.0000), Ac at (0.0000, 0.0000, 0.1322), La at (0.0000, 0.0000, 0.5000), La at (0.0376, 0.5188, 0.9093) and Y at (0.0000, 0.0000, 0.3400).

The crystal system is trigonal. As for the formation energy: 17.2 kJ/mol of atoms. Its uncorrected energy is -0.353 Ry per atom.



This record from the Alexandria database describes a relaxed structure of TlAg. The functional is PBE.

The space group is Imm2 (No. 44) and the conventional cell measures 3.397, 12.875 and 6.700 Å, with angles of 90.00, 90.00 and 90.00 degrees. The asymmetric unit holds Tl at (0.000, 0.000, 0.000), Tl at (0.000, 0.307, 0.238), Ag at (0.000, 0.000, 0.565) and Ag at (0.000, 0.383, 0.800).

The crystal system is orthorhombic. As for the formation energy: 11.6 kJ/mol of atoms. Its uncorrected energy is -0.183 Ry per atom.



This record from the Alexandria database describes a relaxed structure of CaSb4Se. The functional is PBE.

The space group is F-43m (No. 216) and the conventional cell measures 8.819, 8.819 and 8.819 Å, with angles of 90.00, 90.00 and 90.00 degrees. The asymmetric unit holds Ca at (0.000, 0.000, 0.000), Sb at (0.123, 0.123, 0.623) and Se at (0.250, 0.250, 0.250).

The crystal system is cubic. For the formation energy (no corrections), the calculation gives -0.57 eV/f.u. Its uncorrected energy is -0.276 Ry per atom.



This record from the Alexandria database describes a relaxed structure of CsZr2GaPb. The functional is PBE.

The space group is P4/mmm (No. 123) and the conventional cell measures 5.601, 5.601 and 6.927 Å, with angles of 90.00, 90.00 and 90.00 degrees. The asymmetric unit holds Cs at (0.000, 0.000, 0.000), Zr at (0.000, 0.500, 0.500), Ga at (0.500, 0.500, 0.000) and Pb at (0.000, 0.000, 0.500).

The crystal system is tetragonal. As for the formation energy: 115.2 kJ/mol of atoms. Its uncorrected energy is -0.275 Ry per atom.



This record from the Alexandria database describes a relaxed structure of Rb2CaAg2. The functional is PBE.

The space group is P4/mbm (No. 127) and the conventional cell measures 8.295, 8.295 and 5.681 Å, with angles of 90.00, 90.00 and 90.00 degrees. The asymmetric unit holds Rb at (0.168, 0.332, 0.000), Ca at (0.000, 0.000, 0.500) and Ag at (0.124, 0.624, 0.500).

The crystal system is tetragonal. The value obtained for the distance to the lowest polymorph of the same formula is 0 meV/atom. As for the formation energy: 7.2 kJ/mol of atoms. Its uncorrected energy is -0.136 Ry per atom.



| no. | magnetic moment (μB per cell) |
| --- | --- |
| 1 | 0.0 |
| 2 | 0.0 |
| 3 | 0.0 |
| 4 | 0.0 |
| 5 | 3.4 |
| 6 | 0.0 |